No. 1
Here is a geometry-optimized La3PrZn4 structure from Alexandria. Energies are from PBE.

Properties
ΔE_f   -0.305 eV per atom

abc: 3.7496 3.7496 15.0192
angles: 90.00 90.00 90.00
Space group P4/mmm (No. 123)
Inequivalent atoms, fractional coordinates:
La: 0.0000 0.0000 0.0000 [1 per cell]
La: 0.0000 0.0000 0.2516 [2 per cell]
Pr: 0.0000 0.0000 0.5000 [1 per cell]
Zn: 0.5000 0.5000 0.1258 [2 per cell]
Zn: 0.5000 0.5000 0.3784 [2 per cell]

---

No. 2
Here is a geometry-optimized Dy4Ho5Er3 structure from Alexandria. Energies are from PBE.

Properties
ΔE_f   0.020 eV per atom
Energy above the most stable polymorph in this dataset   0 meV/atom

abc: 6.0900 7.0381 8.6048
angles: 90.00 89.92 89.88
Space group P-1 (No. 2)
Inequivalent atoms, fractional coordinates:
Dy: 0.1665 0.2507 0.3330 [2 per cell]
Dy: 0.3332 0.9997 0.6668 [2 per cell]
Ho: 0.0000 0.0000 0.0000 [1 per cell]
Ho: 0.3332 0.4997 0.6669 [2 per cell]
Ho: 0.5004 0.2504 0.0000 [2 per cell]
Er: 0.0000 0.5000 0.0000 [1 per cell]
Er: 0.1669 0.7498 0.3330 [2 per cell]

---

No. 3
Here is a geometry-optimized Tm6AgRh2 structure from Alexandria. Energies are from PBE.

Properties
ΔE_f   -0.542 eV per atom

abc: 9.2192 9.3233 10.2210
angles: 90.00 90.00 90.00
Space group Immm (No. 71)
Inequivalent atoms, fractional coordinates:
Tm: 0.0000 0.1959 0.2400 [8 per cell]
Tm: 0.1936 0.5000 0.1713 [8 per cell]
Tm: 0.2171 0.3197 0.5000 [8 per cell]
Ag: 0.0000 0.0000 0.0000 [2 per cell]
Ag: 0.0000 0.0000 0.5000 [2 per cell]
Rh: 0.0000 0.3322 0.0000 [4 per cell]
Rh: 0.0000 0.5000 0.3678 [4 per cell]

---

No. 4
Here is a geometry-optimized CaCoAg structure from Alexandria. Energies are from PBE.

Properties
ΔE_f   0.242 eV per atom

abc: 4.4153 4.4153 3.7911
angles: 90.00 90.00 120.00
Space group P-6m2 (No. 187)
Inequivalent atoms, fractional coordinates:
Ca: 0.0000 0.0000 0.0000 [1 per cell]
Co: 0.6667 0.3333 0.5000 [1 per cell]
Ag: 0.3333 0.6667 0.5000 [1 per cell]

---

No. 5
Here is a geometry-optimized Cs2RbLiBr4 structure from Alexandria. Energies are from PBE.

Properties
Total DFT energy (no corrections)   -0.112 Ha/atom

abc: 13.6258 13.8945 9.9676
angles: 90.00 132.89 90.00
Space group C2/c (No. 15)
Inequivalent atoms, fractional coordinates:
Cs: 0.0000 0.0000 0.0000 [4 per cell]
Cs: 0.2500 0.2500 0.0000 [4 per cell]
Rb: 0.2500 0.2500 0.5000 [4 per cell]
Li: 0.0000 0.5000 0.0000 [4 per cell]
Br: 0.0000 0.2569 0.0100 [8 per cell]
Br: 0.2003 0.4959 0.5260 [8 per cell]

---

No. 6
Here is a geometry-optimized Th3AlP2Rh9 structure from Alexandria. Energies are from PBE.

Properties
ΔE_f   -0.799 eV per atom

abc: 5.8002 5.8002 9.6635
angles: 90.00 90.00 120.00
Space group P-3m1 (No. 164)
Inequivalent atoms, fractional coordinates:
Th: 0.0000 0.0000 0.0000 [1 per cell]
Th: 0.3333 0.6667 0.6269 [2 per cell]
Al: 0.0000 0.0000 0.5000 [1 per cell]
P: 0.3333 0.6667 0.1595 [2 per cell]
Rh: 0.0000 0.5000 0.0000 [3 per cell]
Rh: 0.1617 0.3235 0.3060 [6 per cell]

---

No. 7
Here is a geometry-optimized KBaSe3 structure from Alexandria. Energies are from PBE.

Properties
Energy above the most stable polymorph in this dataset   0 meV/atom

abc: 6.2613 6.2613 6.2613
angles: 90.00 90.00 90.00
Space group Pm-3m (No. 221)
Inequivalent atoms, fractional coordinates:
K: 0.0000 0.0000 0.0000 [1 per cell]
Ba: 0.5000 0.5000 0.5000 [1 per cell]
Se: 0.0000 0.5000 0.5000 [3 per cell]

---

No. 8
Here is a geometry-optimized CrIn2I2 structure from Alexandria. Energies are from PBE.

Properties
Energy above the most stable polymorph in this dataset   0 meV/atom

abc: 7.5557 7.5557 6.1115
angles: 90.00 90.00 90.00
Space group P4/mbm (No. 127)
Inequivalent atoms, fractional coordinates:
Cr: 0.0000 0.0000 0.0000 [2 per cell]
In: 0.1766 0.3234 0.5000 [4 per cell]
I: 0.1794 0.6794 0.0000 [4 per cell]

---

No. 9
Here is a geometry-optimized ScInSe2N structure from Alexandria. Energies are from PBE.

Properties
Energy above the most stable polymorph in this dataset   0 meV/atom

abc: 5.3126 5.3126 4.1264
angles: 90.00 90.00 90.00
Space group P4/mmm (No. 123)
Inequivalent atoms, fractional coordinates:
Sc: 0.0000 0.0000 0.0000 [1 per cell]
In: 0.5000 0.5000 0.5000 [1 per cell]
Se: 0.0000 0.5000 0.0000 [2 per cell]
N: 0.0000 0.0000 0.5000 [1 per cell]

---

No. 10
Here is a geometry-optimized Ca3Pm2Pr2 structure from Alexandria. Energies are from PBE.

Properties
ΔE_f   0.055 eV per atom

abc: 5.7710 25.3218 3.6741
angles: 90.00 90.00 90.00
Space group Cmmm (No. 65)
Inequivalent atoms, fractional coordinates:
Ca: 0.0000 0.0000 0.0000 [2 per cell]
Ca: 0.0000 0.4240 0.5000 [4 per cell]
Pm: 0.0000 0.1557 0.0000 [4 per cell]
Pr: 0.0000 0.2831 0.5000 [4 per cell]

---

No. 11
Here is a geometry-optimized Zr2TeP structure from Alexandria. Energies are from PBE.

Properties
Energy above the most stable polymorph in this dataset   380 meV/atom

abc: 6.8528 6.8528 6.8528
angles: 90.00 90.00 90.00
Space group Fm-3m (No. 225)
Inequivalent atoms, fractional coordinates:
Zr: 0.2500 0.2500 0.2500 [8 per cell]
Te: 0.0000 0.0000 0.0000 [4 per cell]
P: 0.0000 0.0000 0.5000 [4 per cell]

---

No. 12
Here is a geometry-optimized SbS8Cl2 structure from Alexandria. Energies are from PBE.

Properties
Total DFT energy (no corrections)   -0.130 Ha/atom

abc: 14.9511 6.5962 8.9585
angles: 90.00 116.34 90.00
Space group C2/m (No. 12)
Inequivalent atoms, fractional coordinates:
Sb: 0.0000 0.0000 0.0000 [2 per cell]
S: 0.0092 0.5000 0.3394 [4 per cell]
S: 0.0901 0.2739 0.2712 [8 per cell]
S: 0.1913 0.5000 0.2715 [4 per cell]
Cl: 0.0747 0.0000 0.7818 [4 per cell]

---

No. 13
Here is a geometry-optimized Dy3Ho3Tm structure from Alexandria. Energies are from PBE.

Properties
ΔE_f   0.144 eV per atom
Energy above the most stable polymorph in this dataset   137 meV/atom

abc: 6.1179 6.1179 42.0552
angles: 90.00 90.00 120.00
Space group R-3 (No. 148, hexagonal axes)
Inequivalent atoms, fractional coordinates:
Dy: 0.0001 0.3313 0.1325 [18 per cell]
Ho: 0.0001 0.3340 0.9342 [18 per cell]
Tm: 0.0000 0.0000 0.3333 [6 per cell]

---

No. 14
Here is a geometry-optimized MgTlIn2 structure from Alexandria. Energies are from PBE.

Properties
ΔE_f   -0.013 eV per atom

abc: 3.3893 4.6475 6.6787
angles: 90.00 90.53 90.00
Space group P2/m (No. 10)
Inequivalent atoms, fractional coordinates:
Mg: 0.0000 0.0000 0.0000 [1 per cell]
Tl: 0.0000 0.0000 0.5000 [1 per cell]
In: 0.4970 0.5000 0.2370 [2 per cell]

---

No. 15
Here is a geometry-optimized HoErBeRh structure from Alexandria. Energies are from PBE.

Properties
ΔE_f   -0.406 eV per atom

abc: 6.8051 6.8051 6.8051
angles: 90.00 90.00 90.00
Space group F-43m (No. 216)
Inequivalent atoms, fractional coordinates:
Ho: 0.0000 0.0000 0.0000 [4 per cell]
Er: 0.0000 0.0000 0.5000 [4 per cell]
Be: 0.2500 0.2500 0.7500 [4 per cell]
Rh: 0.2500 0.2500 0.2500 [4 per cell]

---

No. 16
Here is a geometry-optimized TbPmSm5Ho2 structure from Alexandria. Energies are from PBE.

Properties
ΔE_f   0.149 eV per atom

abc: 5.6498 20.2215 10.6765
angles: 90.00 90.00 90.00
Space group Cmc2_1 (No. 36)
Inequivalent atoms, fractional coordinates:
Tb: 0.0000 0.0878 0.0000 [4 per cell]
Pm: 0.0000 0.2989 0.5549 [4 per cell]
Sm: 0.0000 0.0212 0.2854 [4 per cell]
Sm: 0.0000 0.1080 0.5699 [4 per cell]
Sm: 0.0000 0.2019 0.2501 [4 per cell]
Sm: 0.0000 0.2185 0.8535 [4 per cell]
Sm: 0.0000 0.4830 0.5683 [4 per cell]
Ho: 0.0000 0.3841 0.8643 [4 per cell]
Ho: 0.0000 0.3896 0.2816 [4 per cell]

---

No. 17
Here is a geometry-optimized RbLaPd structure from Alexandria. Energies are from PBE.

Properties
ΔE_f   -0.219 eV per atom

abc: 4.1229 4.1226 7.2995
angles: 90.00 90.27 90.00
Space group Pm (No. 6)
Inequivalent atoms, fractional coordinates:
Rb: 0.0000 0.0000 0.0000 [1 per cell]
La: 0.5040 0.5000 0.4999 [1 per cell]
Pd: 0.0042 0.0000 0.5001 [1 per cell]

---

No. 18
Here is a geometry-optimized Er5Te4Ir structure from Alexandria. Energies are from PBE.

Properties
Energy above the most stable polymorph in this dataset   32 meV/atom

abc: 4.1984 4.1984 31.2611
angles: 90.00 90.00 90.00
Space group I4/mmm (No. 139)
Inequivalent atoms, fractional coordinates:
Er: 0.0000 0.0000 0.0000 [2 per cell]
Er: 0.0000 0.0000 0.2116 [4 per cell]
Er: 0.0000 0.0000 0.4168 [4 per cell]
Te: 0.0000 0.0000 0.1067 [4 per cell]
Te: 0.0000 0.0000 0.3098 [4 per cell]
Ir: 0.0000 0.0000 0.5000 [2 per cell]

---

No. 19
Here is a geometry-optimized Y6CoBi3 structure from Alexandria. Energies are from PBE.

Properties
ΔE_f   -0.356 eV per atom

abc: 11.6405 14.4762 7.5056
angles: 90.00 90.00 90.00
Space group Cmc2_1 (No. 36)
Inequivalent atoms, fractional coordinates:
Y: 0.0000 0.0109 0.0000 [4 per cell]
Y: 0.0000 0.2410 0.5398 [4 per cell]
Y: 0.1503 0.2435 0.0843 [8 per cell]
Y: 0.1638 0.4603 0.5664 [8 per cell]
Co: 0.0000 0.1380 0.2554 [4 per cell]
Bi: 0.0000 0.3922 0.8761 [4 per cell]
Bi: 0.1825 0.1095 0.7490 [8 per cell]

---

No. 20
Here is a geometry-optimized Ca2PtPb structure from Alexandria. Energies are from PBE.

Properties
ΔE_f   -0.421 eV per atom
Energy above the most stable polymorph in this dataset   300 meV/atom

abc: 8.3161 8.3161 6.5934
angles: 90.00 90.00 90.00
Space group I-42d (No. 122)
Inequivalent atoms, fractional coordinates:
Ca: 0.1973 0.7500 0.1250 [8 per cell]
Pt: 0.0000 0.0000 0.0000 [4 per cell]
Pb: 0.0000 0.0000 0.5000 [4 per cell]

---

The calculation returns the following DOS(E_F) values, one per record and in order: 10.7, 15.4, 40.1, 6.4, 0.0, 9.7, 3.0, 3.9, 3.9, 19.5, 8.3, 5.2, 55.8, 1.2, 7.2, 56.9, 3.5, 10.3, 43.5, 5.4 states/eV per cell.